Record 1
A plane-wave DFT calculation with SCAN was carried out for a crystal of ZnReSnTe2 relaxed with PBEsol.

Lattice parameters (Å, degrees): 5.1964 5.6766 5.6766 90.00 90.00 90.00
Last column: magnetic moment on the atom in μB.
Fractional positions:
Zn: 0.5000 0.5000 0.5000  0.14
Te: 0.0000 0.5000 0.0000  0.20
Te: 0.0000 0.0000 0.5000  0.20
Re: 0.5000 0.0000 0.0000  3.19
Sn: 0.0000 0.0000 0.0000  -0.04

## Properties
For the magnetization, the calculation gives 5.04 μB/f.u. The calculation puts the density at 6.20 Mg/m³. As for the total DFT energy (no corrections): -37.3948 eV per atom. The value obtained for the uncorrected formation energy is 155.57 kJ per mole of atoms. For the calculated volume, the calculation gives 167.4 Å³ per cell. For the density of states at the Fermi level, the calculation gives 4.0 states/eV/f.u.

***

Record 2
A plane-wave DFT calculation with SCAN was carried out for a crystal of TlRe2Sn relaxed with PBEsol.

Lattice parameters (Å, degrees): 4.6100 4.6100 4.6100 60.00 60.00 60.00
Fractional positions:
Re: 0.2500 0.2500 0.2500
Tl: 0.5000 0.5000 0.5000
Re: 0.7500 0.7500 0.7500
Sn: 0.0000 0.0000 0.0000

## Properties
For the magnetization, the calculation gives 0.00 μB/f.u. The calculation puts the density at 16.67 Mg/m³. As for the total DFT energy (no corrections): -61.4419 eV per atom. For the calculated volume, the calculation gives 69.3 Å³ per cell. The calculation puts the formation energy at 1.177 eV/atom. For the density of states at the Fermi level, the calculation gives 4.7 states/eV/f.u.

***

Record 3
A plane-wave DFT calculation with SCAN was carried out for a crystal of Y2ReSnW relaxed with PBEsol.

Lattice parameters (Å, degrees): 4.7950 5.4116 5.4116 90.00 90.00 90.00
Last column: magnetic moment on the atom in μB.
Fractional positions:
Sn: 0.0000 0.0000 0.0000  0.02
Y: 0.0000 0.0000 0.5000  0.07
W: 0.5000 0.5000 0.5000  2.69
Y: 0.0000 0.5000 0.0000  0.07
Re: 0.5000 0.0000 0.0000  -1.10

## Properties
For the magnetization, the calculation gives 2.49 μB/f.u. The calculation puts the density at 7.88 Mg/m³. As for the total DFT energy (no corrections): -44.7288 eV per atom. For the calculated volume, the calculation gives 140.4 Å³ per cell. The calculation puts the formation energy at 1.750 eV/atom. For the density of states at the Fermi level, the calculation gives 2.5 states/eV/f.u.

***

Record 4
A plane-wave DFT calculation with SCAN was carried out for a crystal of ZnRe3Sn relaxed with PBEsol.

Lattice parameters (Å, degrees): 4.4829 4.4829 4.4829 90.00 90.00 90.00
Last column: magnetic moment on the atom in μB.
Fractional positions:
Re: 0.0000 0.5000 0.0000  0.71
Sn: 0.5000 0.5000 0.5000  -0.08
Re: 0.0000 0.0000 0.5000  0.71
Zn: 0.0000 0.0000 0.0000  0.01
Re: 0.5000 0.0000 0.0000  0.71

## Properties
For the magnetization, the calculation gives 2.60 μB/f.u. The calculation puts the density at 13.69 Mg/m³. As for the total DFT energy (no corrections): -50.5362 eV per atom. For the calculated volume, the calculation gives 90.1 Å³ per cell. The calculation puts the formation energy at 2.010 eV/atom. For the density of states at the Fermi level, the calculation gives 5.0 states/eV/f.u.

***

Record 5
A plane-wave DFT calculation with SCAN was carried out for a crystal of SrRe relaxed with PBEsol.

Lattice parameters (Å, degrees): 4.3632 4.3632 4.3632 60.00 60.00 60.00
Last column: magnetic moment on the atom in μB.
Fractional positions:
Re: 0.0000 0.0000 0.0000  2.50
Sr: 0.5000 0.5000 0.5000  0.04

## Properties
For the magnetization, the calculation gives 3.13 μB/f.u. The calculation puts the density at 7.74 Mg/m³. As for the total DFT energy (no corrections): -44.2153 eV per atom. For the polymorph energy (0 for the lowest one), the calculation gives 1950.1 meV per atom. For the calculated volume, the calculation gives 58.7 Å³ per cell. The calculation puts the formation energy at 2.471 eV/atom. For the density of states at the Fermi level, the calculation gives 2.8 states/eV/f.u.

***

Record 6
A plane-wave DFT calculation with SCAN was carried out for a crystal of SrRe relaxed with PBEsol.

Lattice parameters (Å, degrees): 3.2452 3.6882 9.3369 90.00 100.01 90.00
Fractional positions:
Sr: 0.4008 0.2500 0.8017
Sr: 0.5992 0.7500 0.1983
Re: 0.2333 0.2500 0.4666
Re: 0.7667 0.7500 0.5334

## Properties
For the magnetization, the calculation gives 0.00 μB/f.u. The calculation puts the density at 8.26 Mg/m³. As for the total DFT energy (no corrections): -46.1654 eV per atom. For the polymorph energy (0 for the lowest one), the calculation gives 0.0 meV per atom. For the calculated volume, the calculation gives 110.1 Å³ per cell. The calculation puts the formation energy at 0.521 eV/atom. For the density of states at the Fermi level, the calculation gives 2.1 states/eV/f.u.

***

Record 7
A plane-wave DFT calculation with SCAN was carried out for a crystal of Sr2Re relaxed with PBEsol.

Lattice parameters (Å, degrees): 2.8497 5.4081 5.4081 120.00 90.00 90.00
Fractional positions:
Sr: 0.0000 0.6667 0.3333
Re: 0.5000 0.0000 0.0000
Sr: 0.0000 0.3333 0.6667

## Properties
For the magnetization, the calculation gives 0.00 μB/f.u. The calculation puts the density at 8.32 Mg/m³. As for the total DFT energy (no corrections): -37.3922 eV per atom. For the calculated volume, the calculation gives 72.2 Å³ per cell. The calculation puts the formation energy at 1.157 eV/atom. For the density of states at the Fermi level, the calculation gives 2.0 states/eV/f.u.

***

Record 8
A plane-wave DFT calculation with SCAN was carried out for a crystal of SrRe2 relaxed with PBEsol.

Lattice parameters (Å, degrees): 3.1980 5.7885 7.5406 91.79 90.00 106.04
Fractional positions:
Sr: 0.2259 0.4519 0.0659
Re: 0.9648 0.9296 0.8677
Re: 0.5945 0.1890 0.7188
Re: 0.7292 0.4585 0.4722
Re: 0.3313 0.6626 0.6774
Sr: 0.9876 0.9752 0.3645

## Properties
For the magnetization, the calculation gives 0.00 μB/f.u. The calculation puts the density at 11.39 Mg/m³. As for the total DFT energy (no corrections): -54.1103 eV per atom. For the calculated volume, the calculation gives 134.1 Å³ per cell. The calculation puts the formation energy at 0.713 eV/atom. For the density of states at the Fermi level, the calculation gives 2.6 states/eV/f.u.

***

- Which value of calculated volume does entry 1 give?
  167.4 Å³ per cell

***

- The highest total DFT energy (no corrections) belongs to which entry?
  Sr2Re

***

- Which of these has the lowest total DFT energy (no corrections)?
  TlRe2Sn

***

What did the fourth record say?
A plane-wave DFT calculation with SCAN was carried out for a crystal of ZnRe3Sn relaxed with PBEsol.

Lattice parameters (Å, degrees): 4.4829 4.4829 4.4829 90.00 90.00 90.00
Last column: magnetic moment on the atom in μB.
Fractional positions:
Re: 0.0000 0.5000 0.0000  0.71
Sn: 0.5000 0.5000 0.5000  -0.08
Re: 0.0000 0.0000 0.5000  0.71
Zn: 0.0000 0.0000 0.0000  0.01
Re: 0.5000 0.0000 0.0000  0.71

## Properties
For the magnetization, the calculation gives 2.60 μB/f.u. The calculation puts the density at 13.69 Mg/m³. As for the total DFT energy (no corrections): -50.5362 eV per atom. For the calculated volume, the calculation gives 90.1 Å³ per cell. The calculation puts the formation energy at 2.010 eV/atom. For the density of states at the Fermi level, the calculation gives 5.0 states/eV/f.u.